Entry from Alexandria via LeMat-Bulk: an optimized crystal structure of Te2Mo (GGA-PBEsol).

Results
- E_form (uncorrected): -285 meV per atom
- Energy: -6.559 eV per atom

Cell lengths 3.4928, 3.4928, 13.9326 Å; angles 90.00, 90.00, 120.00 degrees
Atoms (fractional coordinates):
Te: 0.3333 0.6667 0.1204
Te: 0.3333 0.6667 0.3796
Te: 0.6667 0.3333 0.6204
Te: 0.6667 0.3333 0.8796
Mo: 0.3333 0.6667 0.7500
Mo: 0.6667 0.3333 0.2500

=====

Entry from Alexandria via LeMat-Bulk: an optimized crystal structure of Te2Mo (GGA-PBEsol).

Results
- E_form (uncorrected): -278 meV per atom
- Energy: -6.551 eV per atom

Cell lengths 3.4923, 3.4923, 21.8585 Å; angles 90.00, 90.00, 120.00 degrees
Atoms (fractional coordinates):
Te: 0.0000 0.0000 0.0826
Te: 0.0000 0.0000 0.9174
Te: 0.3333 0.6667 0.2351
Te: 0.3333 0.6667 0.4002
Te: 0.3333 0.6667 0.5998
Te: 0.3333 0.6667 0.7649
Mo: 0.0000 0.0000 0.3177
Mo: 0.0000 0.0000 0.6823
Mo: 0.3333 0.6667 0.0000

=====

Entry from Alexandria via LeMat-Bulk: an optimized crystal structure of TeMo4 (GGA-PBEsol).

Results
- E_form (uncorrected): 691 meV per atom
- Energy: -9.428 eV per atom

Cell lengths 6.4984, 6.4984, 6.4984 Å; angles 144.00, 144.00, 51.83 degrees
Atoms (fractional coordinates):
Te: 0.0000 0.0000 0.0000
Mo: 0.2500 0.7500 0.5000
Mo: 0.3825 0.3825 0.0000
Mo: 0.6175 0.6175 0.0000
Mo: 0.7500 0.2500 0.5000

=====

Entry from Alexandria via LeMat-Bulk: an optimized crystal structure of Te2Mo (GGA-PBEsol).

Results
- E_form (uncorrected): -266 meV per atom
- Energy: -6.540 eV per atom

Cell lengths 6.3185, 3.4520, 13.5727 Å; angles 90.00, 93.29, 90.00 degrees
Atoms (fractional coordinates):
Te: 0.0575 0.2500 0.3957
Te: 0.0925 0.7500 0.1517
Te: 0.4153 0.7500 0.8959
Te: 0.4406 0.2500 0.6513
Te: 0.5594 0.7500 0.3487
Te: 0.5847 0.2500 0.1041
Te: 0.9075 0.2500 0.8483
Te: 0.9425 0.7500 0.6043
Mo: 0.1812 0.2500 0.0078
Mo: 0.3203 0.7500 0.5067
Mo: 0.6797 0.2500 0.4933
Mo: 0.8188 0.7500 0.9922

=====

Entry from Alexandria via LeMat-Bulk: an optimized crystal structure of TiTe2Mo (GGA-PBEsol).

Results
- E_form (uncorrected): -91 meV per atom
- Energy: -6.876 eV per atom

Cell lengths 4.7220, 4.7220, 4.7220 Å; angles 60.00, 60.00, 60.00 degrees
Atoms (fractional coordinates):
Ti: 0.0000 0.0000 0.0000
Te: 0.2500 0.2500 0.2500
Te: 0.7500 0.7500 0.7500
Mo: 0.5000 0.5000 0.5000

=====

Entry from Alexandria via LeMat-Bulk: an optimized crystal structure of Ti3TeMo (GGA-PBEsol).

Results
- E_form (uncorrected): 590 meV per atom
- Energy: -7.463 eV per atom
- Energy relative to the lowest polymorph listed for this composition: 0 meV per atom

Cell lengths 4.6914, 4.6914, 4.6914 Å; angles 90.00, 90.00, 90.00 degrees
Atoms (fractional coordinates):
Ti: 0.0000 0.0000 0.5000
Ti: 0.0000 0.5000 0.0000
Ti: 0.5000 0.0000 0.0000
Te: 0.5000 0.5000 0.5000
Mo: 0.0000 0.0000 0.0000

=====

Entry from Alexandria via LeMat-Bulk: an optimized crystal structure of Ti3TeMo (GGA-PBEsol).

Results
- E_form (uncorrected): 1259 meV per atom
- Energy: -6.793 eV per atom
- Energy relative to the lowest polymorph listed for this composition: 670 meV per atom

Cell lengths 4.8236, 4.8236, 4.8236 Å; angles 90.00, 90.00, 90.00 degrees
Atoms (fractional coordinates):
Ti: 0.0000 0.0000 0.5000
Ti: 0.0000 0.5000 0.0000
Ti: 0.5000 0.0000 0.0000
Te: 0.0000 0.0000 0.0000
Mo: 0.5000 0.5000 0.5000

=====

Entry from Alexandria via LeMat-Bulk: an optimized crystal structure of TiTe3Mo (GGA-PBEsol).

Results
- E_form (uncorrected): 737 meV per atom
- Energy: -5.397 eV per atom

Cell lengths 5.2207, 5.2207, 5.2207 Å; angles 90.00, 90.00, 90.00 degrees
Atoms (fractional coordinates):
Ti: 0.0000 0.0000 0.0000
Te: 0.0000 0.5000 0.5000
Te: 0.5000 0.0000 0.5000
Te: 0.5000 0.5000 0.0000
Mo: 0.5000 0.5000 0.5000

=====

Entry from Alexandria via LeMat-Bulk: an optimized crystal structure of TlTeMo4 (GGA-PBEsol).

Results
- E_form (uncorrected): 625 meV per atom
- Energy: -8.247 eV per atom

Cell lengths 5.3492, 5.3492, 5.3492 Å; angles 60.00, 60.00, 60.00 degrees
Atoms (fractional coordinates):
Tl: 0.0000 0.0000 0.0000
Te: 0.2500 0.2500 0.2500
Mo: 0.1240 0.6253 0.6253
Mo: 0.6253 0.1240 0.6253
Mo: 0.6253 0.6253 0.1240
Mo: 0.6253 0.6253 0.6253

=====

Entry from Alexandria via LeMat-Bulk: an optimized crystal structure of TlTe2Mo (GGA-PBEsol).

Results
- E_form (uncorrected): 472 meV per atom
- Energy: -4.890 eV per atom

Cell lengths 5.0142, 5.0142, 5.0142 Å; angles 60.00, 60.00, 60.00 degrees
Atoms (fractional coordinates):
Tl: 0.0000 0.0000 0.0000
Te: 0.2500 0.2500 0.2500
Te: 0.7500 0.7500 0.7500
Mo: 0.5000 0.5000 0.5000

=====

Entry from Alexandria via LeMat-Bulk: an optimized crystal structure of TlTe2Mo (GGA-PBEsol).

Results
- E_form (uncorrected): 220 meV per atom
- Energy: -5.143 eV per atom

Cell lengths 7.0647, 7.0647, 7.0647 Å; angles 153.35, 139.98, 48.73 degrees
Atoms (fractional coordinates):
Tl: 0.0000 0.0000 0.0000
Te: 0.3276 0.8276 0.5000
Te: 0.6724 0.1724 0.5000
Mo: 0.5000 0.5000 0.0000

=====

Entry from Alexandria via LeMat-Bulk: an optimized crystal structure of TlTe3Mo3 (GGA-PBEsol).

Results
- E_form (uncorrected): -268 meV per atom
- Energy: -7.199 eV per atom

Cell lengths 9.3903, 9.3903, 4.5567 Å; angles 90.00, 90.00, 120.00 degrees
Atoms (fractional coordinates):
Tl: 0.3333 0.6667 0.2500
Tl: 0.6667 0.3333 0.7500
Te: 0.0617 0.6904 0.7500
Te: 0.3096 0.3713 0.7500
Te: 0.3713 0.0617 0.2500
Te: 0.6287 0.9383 0.7500
Te: 0.6904 0.6287 0.2500
Te: 0.9383 0.3096 0.2500
Mo: 0.0289 0.8545 0.2500
Mo: 0.1455 0.1744 0.2500
Mo: 0.1744 0.0289 0.7500
Mo: 0.8256 0.9711 0.2500
Mo: 0.8545 0.8256 0.7500
Mo: 0.9711 0.1455 0.7500

=====

Entry from Alexandria via LeMat-Bulk: an optimized crystal structure of TlTeMo2 (GGA-PBEsol).

Results
- E_form (uncorrected): 864 meV per atom
- Energy: -6.559 eV per atom
- Energy relative to the lowest polymorph listed for this composition: 258 meV per atom

Cell lengths 5.3483, 5.3483, 3.1277 Å; angles 103.52, 103.52, 111.04 degrees
Atoms (fractional coordinates):
Tl: 0.0000 0.0000 0.0000
Te: 0.5000 0.5000 0.0000
Mo: 0.0000 0.5000 0.5000
Mo: 0.5000 0.0000 0.5000

=====

Entry from Alexandria via LeMat-Bulk: an optimized crystal structure of TlTeMo (GGA-PBEsol).

Results
- E_form (uncorrected): 663 meV per atom
- Energy: -5.312 eV per atom

Cell lengths 4.9539, 4.9539, 2.9824 Å; angles 90.00, 90.00, 120.00 degrees
Atoms (fractional coordinates):
Tl: 0.0000 0.0000 0.0000
Te: 0.6667 0.3333 0.5000
Mo: 0.3333 0.6667 0.5000

=====

Entry from Alexandria via LeMat-Bulk: an optimized crystal structure of Tl2TeMo (GGA-PBEsol).

Results
- E_form (uncorrected): 444 meV per atom
- Energy: -4.695 eV per atom
- Energy relative to the lowest polymorph listed for this composition: 0 meV per atom

Cell lengths 4.4972, 5.7767, 5.7767 Å; angles 38.40, 90.00, 90.00 degrees
Atoms (fractional coordinates):
Tl: 0.0000 0.0000 0.0000
Tl: 0.5000 0.3176 0.3176
Te: 0.5000 0.5978 0.5978
Mo: 0.0000 0.7340 0.7340

=====

Entry from Alexandria via LeMat-Bulk: an optimized crystal structure of Tl2TeMo (GGA-PBEsol).

Results
- E_form (uncorrected): 715 meV per atom
- Energy: -4.424 eV per atom
- Energy relative to the lowest polymorph listed for this composition: 271 meV per atom

Cell lengths 4.2218, 4.2218, 5.5440 Å; angles 90.00, 90.00, 90.00 degrees
Atoms (fractional coordinates):
Tl: 0.0000 0.5000 0.0000
Tl: 0.5000 0.0000 0.0000
Te: 0.0000 0.0000 0.5000
Mo: 0.5000 0.5000 0.5000

=====

Entry from Alexandria via LeMat-Bulk: an optimized crystal structure of TlTeMo2 (GGA-PBEsol).

Results
- E_form (uncorrected): 606 meV per atom
- Energy: -6.817 eV per atom
- Energy relative to the lowest polymorph listed for this composition: 0 meV per atom

Cell lengths 4.6502, 4.6502, 3.3206 Å; angles 90.00, 90.00, 90.00 degrees
Atoms (fractional coordinates):
Tl: 0.0000 0.0000 0.0000
Te: 0.5000 0.5000 0.0000
Mo: 0.0000 0.5000 0.5000
Mo: 0.5000 0.0000 0.5000

=====

Entry from Alexandria via LeMat-Bulk: an optimized crystal structure of Te8MoW3 (GGA-PBEsol).

Results
- E_form (uncorrected): -136 meV per atom
- Energy: -6.919 eV per atom

Cell lengths 3.4933, 3.4933, 27.9727 Å; angles 90.00, 90.00, 120.00 degrees
Atoms (fractional coordinates):
Te: 0.0000 0.0000 0.0000
Te: 0.0000 0.0000 0.1291
Te: 0.0000 0.0000 0.5001
Te: 0.0000 0.0000 0.6301
Te: 0.6667 0.3333 0.2492
Te: 0.6667 0.3333 0.3791
Te: 0.6667 0.3333 0.7506
Te: 0.6667 0.3333 0.8805
Mo: 0.6667 0.3333 0.0645
W: 0.0000 0.0000 0.3141
W: 0.0000 0.0000 0.8155
W: 0.6667 0.3333 0.5651

=====

Entry from Alexandria via LeMat-Bulk: an optimized crystal structure of Te6MoW2 (GGA-PBEsol).

Results
- E_form (uncorrected): -145 meV per atom
- Energy: -6.871 eV per atom

Cell lengths 3.4926, 3.4926, 21.9015 Å; angles 90.00, 90.00, 120.00 degrees
Atoms (fractional coordinates):
Te: 0.0000 0.0000 0.0824
Te: 0.0000 0.0000 0.9176
Te: 0.6667 0.3333 0.2350
Te: 0.6667 0.3333 0.4009
Te: 0.6667 0.3333 0.5991
Te: 0.6667 0.3333 0.7650
Mo: 0.6667 0.3333 0.0000
W: 0.0000 0.0000 0.3181
W: 0.0000 0.0000 0.6819

=====

Entry from Alexandria via LeMat-Bulk: an optimized crystal structure of Te2MoW (GGA-PBEsol).

Results
- E_form (uncorrected): 138 meV per atom
- Energy: -8.019 eV per atom
- Energy relative to the lowest polymorph listed for this composition: 0 meV per atom

Cell lengths 3.4557, 4.2241, 6.5626 Å; angles 90.00, 90.00, 90.00 degrees
Atoms (fractional coordinates):
Te: 0.0000 0.0000 0.0000
Te: 0.5000 0.5000 0.4083
Mo: 0.5000 0.0000 0.6883
W: 0.0000 0.5000 0.7207

=====

Entry from Alexandria via LeMat-Bulk: an optimized crystal structure of Te2MoW (GGA-PBEsol).

Results
- E_form (uncorrected): 1023 meV per atom
- Energy: -7.134 eV per atom
- Energy relative to the lowest polymorph listed for this composition: 885 meV per atom

Cell lengths 5.3525, 5.3525, 3.2103 Å; angles 105.55, 105.55, 108.62 degrees
Atoms (fractional coordinates):
Te: 0.0000 0.5000 0.0000
Te: 0.5000 0.0000 0.0000
Mo: 0.0000 0.0000 0.5000
W: 0.5000 0.5000 0.5000

=====

Entry from Alexandria via LeMat-Bulk: an optimized crystal structure of Te6MoW2 (GGA-PBEsol).

Results
- E_form (uncorrected): -145 meV per atom
- Energy: -6.871 eV per atom

Cell lengths 3.4925, 3.4925, 21.9658 Å; angles 90.00, 90.00, 120.00 degrees
Atoms (fractional coordinates):
Te: 0.0000 0.0000 0.0000
Te: 0.0000 0.0000 0.1643
Te: 0.0000 0.0000 0.3643
Te: 0.0000 0.0000 0.5297
Te: 0.3333 0.6667 0.6827
Te: 0.3333 0.6667 0.8481
Mo: 0.3333 0.6667 0.0822
W: 0.0000 0.0000 0.7654
W: 0.3333 0.6667 0.4469

=====

Entry from Alexandria via LeMat-Bulk: an optimized crystal structure of Te8Mo3W (GGA-PBEsol).

Results
- E_form (uncorrected): -236 meV per atom
- Energy: -6.679 eV per atom

Cell lengths 3.4924, 3.4924, 27.8947 Å; angles 90.00, 90.00, 120.00 degrees
Atoms (fractional coordinates):
Te: 0.0000 0.0000 0.0000
Te: 0.0000 0.0000 0.1295
Te: 0.0000 0.0000 0.4993
Te: 0.0000 0.0000 0.6287
Te: 0.6667 0.3333 0.2499
Te: 0.6667 0.3333 0.3794
Te: 0.6667 0.3333 0.7492
Te: 0.6667 0.3333 0.8795
Mo: 0.0000 0.0000 0.3146
Mo: 0.6667 0.3333 0.0647
Mo: 0.6667 0.3333 0.5640
W: 0.0000 0.0000 0.8143

=====

Entry from Alexandria via LeMat-Bulk: an optimized crystal structure of YTeMo (GGA-PBEsol).

Results
- E_form (uncorrected): 245 meV per atom
- Energy: -7.127 eV per atom

Cell lengths 4.6687, 4.6687, 4.6687 Å; angles 60.00, 60.00, 60.00 degrees
Atoms (fractional coordinates):
Y: 0.0000 0.0000 0.0000
Te: 0.2500 0.2500 0.2500
Mo: 0.5000 0.5000 0.5000

=====

Entry from Alexandria via LeMat-Bulk: an optimized crystal structure of Y2TeMo (GGA-PBEsol).

Results
- E_form (uncorrected): -104 meV per atom
- Energy: -7.338 eV per atom

Cell lengths 3.4622, 3.4622, 8.0972 Å; angles 90.00, 90.00, 90.00 degrees
Atoms (fractional coordinates):
Y: 0.0000 0.0000 0.0000
Y: 0.5000 0.5000 0.3466
Te: 0.5000 0.5000 0.7412
Mo: 0.0000 0.0000 0.5860

=====

Entry from Alexandria via LeMat-Bulk: an optimized crystal structure of Y2TeMo (GGA-PBEsol).

Results
- E_form (uncorrected): 94 meV per atom
- Energy: -7.141 eV per atom

Cell lengths 9.7231, 9.7231, 9.7231 Å; angles 20.53, 20.53, 20.53 degrees
Atoms (fractional coordinates):
Y: 0.0000 0.0000 0.0000
Y: 0.2309 0.2309 0.2309
Te: 0.4759 0.4759 0.4759
Mo: 0.7468 0.7468 0.7468

=====

Entry from Alexandria via LeMat-Bulk: an optimized crystal structure of Zn2TeMo (GGA-PBEsol).

Results
- E_form (uncorrected): 396 meV per atom
- Energy: -4.218 eV per atom

Cell lengths 4.8305, 4.8305, 3.2070 Å; angles 90.00, 90.00, 114.11 degrees
Atoms (fractional coordinates):
Zn: 0.0000 0.5000 0.0000
Zn: 0.5000 0.0000 0.0000
Te: 0.0000 0.0000 0.5000
Mo: 0.5000 0.5000 0.5000